# 1
## CsCd3Pt (PBE)

Data for a relaxed CsCd3Pt crystal.

Relative energy among the computed polymorphs in meV per atom: 153
Total magnetization in μB per cell: 0.000
Final energy in eV per atom: -2.023
Energy relative to the elements in eV/f.u.: -0.47

Lattice parameters (Å, degrees): 7.2839 6.4466 7.3019 90.00 123.56 90.00
Fractional positions:
Cd (0.8948, 0.7500, 0.5075)
Cs (0.6530, 0.2500, 0.5516)
Cd (0.1052, 0.2500, 0.4925)
Cd (0.7404, 0.5113, 0.0725)
Cd (0.7404, 0.9887, 0.0725)
Pt (0.9365, 0.7500, 0.9019)
Cd (0.2596, 0.4887, 0.9275)
Cs (0.3470, 0.7500, 0.4484)
Cd (0.2596, 0.0113, 0.9275)
Pt (0.0635, 0.2500, 0.0981)

***

# 2
## Cs5CdPt4 (PBE)

Data for a relaxed Cs5CdPt4 crystal.

Total magnetization in μB per cell: 0.001
Final energy in eV per atom: -2.981
Energy relative to the elements in eV/f.u.: -0.47

Lattice parameters (Å, degrees): 4.6415 8.7236 11.4427 108.37 101.70 90.00
Fractional positions:
Cd (0.5000, 0.0000, 0.0000)
Pt (0.3965, 0.1048, 0.7931)
Pt (0.9546, 0.0934, 0.9092)
Cs (0.8652, 0.7380, 0.7303)
Cs (0.5000, 0.5000, 0.0000)
Cs (0.8053, 0.2019, 0.6107)
Pt (0.6035, 0.8952, 0.2069)
Cs (0.1947, 0.7981, 0.3893)
Pt (0.0454, 0.9066, 0.0908)
Cs (0.1348, 0.2620, 0.2697)

***

# 3
## CsCd3Pt (PBE)

Data for a relaxed CsCd3Pt crystal.

Relative energy among the computed polymorphs in meV per atom: 127
Total magnetization in μB per cell: 0.000
Final energy in eV per atom: -2.049
Energy relative to the elements in eV/f.u.: -0.61

Lattice parameters (Å, degrees): 22.6491 9.2474 9.2474 149.39 155.84 24.16
Fractional positions:
Cd (0.7747, 0.5828, 0.4172)
Pt (0.9271, 0.8725, 0.1275)
Cd (0.1415, 0.8915, 0.1085)
Cs (0.7416, 0.9175, 0.0825)
Pt (0.0729, 0.1275, 0.8725)
Cd (0.4532, 0.6369, 0.3631)
Cd (0.8585, 0.1085, 0.8915)
Cs (0.2584, 0.0825, 0.9175)
Cd (0.5468, 0.3631, 0.6369)
Cd (0.2253, 0.4172, 0.5828)